Entry 1:
Crystalline PmCr2F8 at its relaxed geometry. Source: Alexandria via LeMat-Bulk, functional PBE+U.

The density comes out at 4.3 g/cm3.

The space group is P-1 (No. 2) and the conventional cell measures 4.211, 6.341 and 6.565 Å, with angles of 111.74, 106.66 and 90.81 degrees. The asymmetric unit holds Pm at (0.000, 0.000, 0.000), Cr at (0.225, 0.654, 0.437), F at (0.093, 0.392, 0.143), F at (0.162, 0.889, 0.311), F at (0.272, 0.390, 0.554) and F at (0.384, 0.875, 0.776).

---

Entry 2:
Crystalline PmCr2F8 at its relaxed geometry. Source: Alexandria via LeMat-Bulk, functional PBE+U.

The density comes out at 4.3 g/cm3.

The space group is C2/m (No. 12) and the conventional cell measures 10.435, 5.662 and 5.244 Å, with angles of 90.00, 97.84 and 90.00 degrees. The asymmetric unit holds Pm at (0.000, 0.000, 0.000), Cr at (0.229, 0.500, 0.513), F at (0.110, 0.500, 0.753), F at (0.139, 0.000, 0.721) and F at (0.146, 0.234, 0.279).

---

Entry 3:
Crystalline Pr3Cr5F12 at its relaxed geometry. Source: Alexandria via LeMat-Bulk, functional PBE+U.

The density comes out at 4.5 g/cm3.

The space group is Ia-3d (No. 230) and the conventional cell measures 13.880, 13.880 and 13.880 Å, with angles of 90.00, 90.00 and 90.00 degrees. The asymmetric unit holds Pr at (0.000, 0.250, 0.125), Cr at (0.000, 0.000, 0.000), Cr at (0.000, 0.250, 0.375) and F at (0.011, 0.076, 0.653).

---

Entry 4:
Crystalline PrCrF5 at its relaxed geometry. Source: Alexandria via LeMat-Bulk, functional PBE+U.

The density comes out at 3.9 g/cm3.

The space group is C2/c (No. 15) and the conventional cell measures 9.322, 7.350 and 7.735 Å, with angles of 90.00, 113.63 and 90.00 degrees. The asymmetric unit holds Pr at (0.000, 0.058, 0.250), Cr at (0.000, 0.500, 0.000), F at (0.000, 0.389, 0.250), F at (0.011, 0.178, 0.965) and F at (0.232, 0.470, 0.622).

---

Entry 5:
Crystalline PrCr2F8 at its relaxed geometry. Source: Alexandria via LeMat-Bulk, functional PBE+U.

The density comes out at 4.0 g/cm3.

The space group is C2/m (No. 12) and the conventional cell measures 10.082, 7.482 and 4.373 Å, with angles of 90.00, 93.71 and 90.00 degrees. The asymmetric unit holds Pr at (0.000, 0.000, 0.000), Cr at (0.117, 0.500, 0.266), F at (0.086, 0.500, 0.759), F at (0.107, 0.238, 0.254) and F at (0.188, 0.000, 0.727).

---

Entry 6:
Crystalline Pr2CrF8 at its relaxed geometry. Source: Alexandria via LeMat-Bulk, functional PBE+U.

The density comes out at 5.4 g/cm3.

The space group is C2/m (No. 12) and the conventional cell measures 15.086, 3.697 and 5.728 Å, with angles of 90.00, 109.42 and 90.00 degrees. The asymmetric unit holds Pr at (0.173, 0.000, 0.183), Cr at (0.000, 0.500, 0.500), F at (0.038, 0.000, 0.337), F at (0.091, 0.500, 0.939), F at (0.177, 0.500, 0.464) and F at (0.221, 0.000, 0.827).

---

Entry 7:
Crystalline PrTl2Cr3F12 at its relaxed geometry. Source: Alexandria via LeMat-Bulk, functional PBE+U.

The density comes out at 5.3 g/cm3.

The space group is R-3m (No. 166, hexagonal axes) and the conventional cell measures 7.9392, 7.9392 and 16.0611 Å, with angles of 90.00, 90.00 and 120.00 degrees. The asymmetric unit holds Pr at (0.0000, 0.0000, 0.0000), Tl at (0.0000, 0.0000, 0.3851), Cr at (0.0000, 0.5000, 0.5000), F at (0.0204, 0.5102, 0.3768) and F at (0.1049, 0.5524, 0.8066).

---

Entry 8:
Crystalline CrPt2F at its relaxed geometry. Source: Alexandria via LeMat-Bulk, functional PBE+U.

The density comes out at 11.4 g/cm3.

The space group is I-42d (No. 122) and the conventional cell measures 7.602, 7.602 and 4.659 Å, with angles of 90.00, 90.00 and 90.00 degrees. The asymmetric unit holds Cr at (0.000, 0.000, 0.000), Pt at (0.204, 0.250, 0.625) and F at (0.000, 0.000, 0.500).

---

Entry 9:
Crystalline Cr2PtF at its relaxed geometry. Source: Alexandria via LeMat-Bulk, functional PBE+U.

The density comes out at 8.0 g/cm3.

The space group is I-42d (No. 122) and the conventional cell measures 6.403, 6.403 and 6.409 Å, with angles of 90.00, 90.00 and 90.00 degrees. The asymmetric unit holds Cr at (0.196, 0.750, 0.125), Pt at (0.000, 0.000, 0.500) and F at (0.000, 0.000, 0.000).

---

Entry 10:
Crystalline CrPtF3 at its relaxed geometry. Source: Alexandria via LeMat-Bulk, functional PBE+U.

The density comes out at 6.3 g/cm3.

The space group is Pm-3m (No. 221) and the conventional cell measures 4.322, 4.322 and 4.322 Å, with angles of 90.00, 90.00 and 90.00 degrees. The asymmetric unit holds Cr at (0.000, 0.000, 0.000), Pt at (0.500, 0.500, 0.500) and F at (0.000, 0.500, 0.500).

---

Entry 11:
Crystalline Cr3PtF at its relaxed geometry. Source: Alexandria via LeMat-Bulk, functional PBE+U.

The density comes out at 4.7 g/cm3.

The space group is Pm-3m (No. 221) and the conventional cell measures 5.078, 5.078 and 5.078 Å, with angles of 90.00, 90.00 and 90.00 degrees. The asymmetric unit holds Cr at (0.000, 0.000, 0.500), Pt at (0.000, 0.000, 0.000) and F at (0.500, 0.500, 0.500).

---

Entry 12:
Crystalline Cr2PtF at its relaxed geometry. Source: Alexandria via LeMat-Bulk, functional PBE+U.

The density comes out at 8.4 g/cm3.

The space group is Fm-3m (No. 225) and the conventional cell measures 6.323, 6.323 and 6.323 Å, with angles of 90.00, 90.00 and 90.00 degrees. The asymmetric unit holds Cr at (0.250, 0.250, 0.250), Pt at (0.000, 0.000, 0.000) and F at (0.000, 0.000, 0.500).

---

no.,V (Å³/atom),raw total energy (eV per atom)
1,14.0,-6.271
2,14.0,-6.025
3,16.7,-6.164
4,17.3,-6.495
5,15.0,-6.243
6,13.7,-6.505
7,16.2,-5.777
8,16.8,-5.315
9,16.4,-6.170
10,16.2,-4.616
11,26.2,-5.610
12,15.8,-5.999